Entry 1:
## GeTe4Br (PBE-GGA)

Data for a relaxed GeTe4Br crystal.

abc: 7.960 10.758 8.147
angles: 131.32 89.12 90.00
Fractional coordinates of all 12 atoms:
Ge 0.192 0.427 0.854
Ge 0.808 0.573 0.146
Te 0.308 0.664 0.327
Te 0.468 0.194 0.774
Te 0.000 0.309 0.000
Te 0.532 0.419 0.226
Te 0.692 0.336 0.673
Te 0.532 0.806 0.226
Te 0.000 0.691 0.000
Te 0.468 0.581 0.774
Br 0.845 0.774 0.547
Br 0.155 0.226 0.453

Summary:
formation energy without anion corrections	-0.016	eV/atom
DOS(E_F)	0.24	states/eV per atom

=====

Entry 2:
## HoCu2Pd (PBE-GGA)

Data for a relaxed HoCu2Pd crystal.

abc: 4.311 3.968 3.968
angles: 90.00 90.00 90.00
Fractional coordinates of all 4 atoms:
Cu 0.000 0.000 0.500
Cu 0.000 0.500 0.000
Ho 0.500 0.500 0.500
Pd 0.500 0.000 0.000

Summary:
DOS(E_F)	0.78	states/eV per atom
formation energy	-0.2814	eV per atom

=====

Entry 3:
## AlInPb2N (PBE-GGA)

Data for a relaxed AlInPb2N crystal.

abc: 5.909 3.517 5.909
angles: 90.00 90.00 90.00
Fractional coordinates of all 5 atoms:
Pb 0.000 0.000 0.500
Pb 0.500 0.000 0.000
N 0.000 0.000 0.000
Al 0.000 0.500 0.000
In 0.500 0.500 0.500

Summary:
formation energy without anion corrections	0.089	eV/atom
DOS(E_F)	0.32	states/eV per atom

=====

Entry 4:
## ThMgRu (PBE-GGA)

Data for a relaxed ThMgRu crystal.

abc: 4.050 7.372 13.060
angles: 90.31 90.00 90.00
Fractional coordinates of all 18 atoms:
Th 0.750 0.535 0.374
Th 0.250 0.963 0.712
Th 0.750 0.037 0.288
Th 0.750 0.657 0.083
Th 0.250 0.465 0.626
Th 0.250 0.343 0.917
Mg 0.250 0.009 0.083
Mg 0.250 0.863 0.464
Mg 0.750 0.634 0.803
Mg 0.750 0.137 0.536
Mg 0.250 0.366 0.197
Mg 0.750 0.991 0.917
Ru 0.250 0.734 0.931
Ru 0.750 0.242 0.747
Ru 0.750 0.740 0.594
Ru 0.750 0.266 0.069
Ru 0.250 0.260 0.406
Ru 0.250 0.758 0.253

Summary:
DOS(E_F)	0.52	states/eV per atom
formation energy	-0.3781	eV per atom

=====

Entry 5:
## MgMnOs (PBE-GGA)

Data for a relaxed MgMnOs crystal.

abc: 2.987 2.987 10.128
angles: 90.00 90.00 90.00
Fractional coordinates of all 6 atoms:
Mg 0.000 0.500 0.616
Mg 0.500 0.000 0.384
Os 0.000 0.500 0.205
Os 0.500 0.000 0.795
Mn 0.500 0.000 0.074
Mn 0.000 0.500 0.926

Summary:
DOS(E_F)	0.76	states/eV per atom
formation energy	0.0738	eV per atom
energy above the most stable polymorph in this dataset	0.0	meV per atom

=====

Entry 6:
## CeAl2CuPd4 (PBE-GGA)

Data for a relaxed CeAl2CuPd4 crystal.

abc: 4.270 4.270 9.030
angles: 76.33 76.33 60.00
Fractional coordinates of all 8 atoms:
Ce 0.000 0.000 0.000
Al 0.767 0.767 0.699
Al 0.233 0.233 0.301
Cu 0.500 0.500 0.500
Pd 0.401 0.401 0.796
Pd 0.869 0.869 0.392
Pd 0.131 0.131 0.608
Pd 0.599 0.599 0.204

Summary:
DOS(E_F)	0.88	states/eV per atom
formation energy	-0.6921	eV per atom

=====

Entry 7:
## LiAs2Ru (PBE-GGA)

Data for a relaxed LiAs2Ru crystal.

abc: 4.404 4.404 4.404
angles: 60.00 60.00 60.00
Fractional coordinates of all 4 atoms:
As 0.000 0.000 0.000
As 0.250 0.250 0.250
Li 0.500 0.500 0.500
Ru 0.750 0.750 0.750

Summary:
DOS(E_F)	0.48	states/eV per atom
formation energy	0.1458	eV per atom

=====

Entry 8:
## HoTeBr (PBE-GGA)

Data for a relaxed HoTeBr crystal.

abc: 4.256 7.372 7.530
angles: 93.85 90.00 90.00
Fractional coordinates of all 6 atoms:
Ho 0.750 0.767 0.491
Ho 0.250 0.233 0.509
Te 0.750 0.097 0.745
Te 0.250 0.903 0.255
Br 0.750 0.405 0.302
Br 0.250 0.595 0.698

Summary:
formation energy without anion corrections	-1.553	eV/atom
DOS(E_F)	0.00	states/eV per atom